(1)
## Ni2PW (PBE-GGA)

Data for a geometry-optimized Ni2PW structure.

Properties
DOS at the Fermi energy = 0.697 states/eV per atom
uncorrected energy = -89.79 eV/cell

CIF file:
```
data_Ni2PW
_chemical_formula_sum 'Ni6 P3 W3'
_cell_length_a 2.7125
_cell_length_b 2.7125
_cell_length_c 23.6987
_cell_angle_alpha 90.00
_cell_angle_beta 90.00
_cell_angle_gamma 120.00
_space_group_name_H-M_alt 'R -3 m'
_space_group_IT_number 166
_space_group_name_Hall '-R 3 2"'
loop_
_atom_site_label
_atom_site_fract_x
_atom_site_fract_y
_atom_site_fract_z
Ni1 0.0000 0.0000 0.2387
P1 0.0000 0.0000 0.5000
W1 0.0000 0.0000 0.0000
```

***

(2)
## Ni2PW (PBE-GGA)

Data for a geometry-optimized Ni2PW structure.

Properties
DOS at the Fermi energy = 0.725 states/eV per atom
uncorrected energy = -88.51 eV/cell

CIF file:
```
data_Ni2PW
_chemical_formula_sum 'Ni6 P3 W3'
_cell_length_a 2.7654
_cell_length_b 2.7654
_cell_length_c 23.3018
_cell_angle_alpha 90.00
_cell_angle_beta 90.00
_cell_angle_gamma 120.00
_space_group_name_H-M_alt 'R 3 m'
_space_group_IT_number 160
_space_group_name_Hall 'R 3 -2"'
loop_
_atom_site_label
_atom_site_fract_x
_atom_site_fract_y
_atom_site_fract_z
Ni1 0.0000 0.0000 0.0000
Ni2 0.0000 0.0000 0.2460
P1 0.0000 0.0000 0.5108
W1 0.0000 0.0000 0.7547
```

***

(3)
## NiPW4 (PBE-GGA)

Data for a geometry-optimized NiPW4 structure.

Properties
DOS at the Fermi energy = 0.902 states/eV per atom
uncorrected energy = -228.51 eV/cell

CIF file:
```
data_NiPW4
_chemical_formula_sum 'Ni4 P4 W16'
_cell_length_a 7.3876
_cell_length_b 7.3876
_cell_length_c 7.3876
_cell_angle_alpha 90.00
_cell_angle_beta 90.00
_cell_angle_gamma 90.00
_space_group_name_H-M_alt 'F -4 3 m'
_space_group_IT_number 216
_space_group_name_Hall 'F -4 2 3'
loop_
_atom_site_label
_atom_site_fract_x
_atom_site_fract_y
_atom_site_fract_z
Ni1 0.0000 0.0000 0.0000
P1 0.2500 0.2500 0.2500
W1 0.1260 0.1260 0.6260
```

***

(4)
## NiP2W (PBE-GGA)

Data for a geometry-optimized NiP2W structure.

Properties
DOS at the Fermi energy = 0.758 states/eV per atom
uncorrected energy = -89.30 eV/cell

CIF file:
```
data_NiP2W
_chemical_formula_sum 'Ni3 P6 W3'
_cell_length_a 2.9668
_cell_length_b 2.9668
_cell_length_c 21.3570
_cell_angle_alpha 90.00
_cell_angle_beta 90.00
_cell_angle_gamma 120.00
_space_group_name_H-M_alt 'R -3 m'
_space_group_IT_number 166
_space_group_name_Hall '-R 3 2"'
loop_
_atom_site_label
_atom_site_fract_x
_atom_site_fract_y
_atom_site_fract_z
Ni1 0.0000 0.0000 0.0000
P1 0.0000 0.0000 0.2532
W1 0.0000 0.0000 0.5000
```